DFT (GGA-PBEsol) results for crystalline ReGeSN2 at its relaxed geometry.

Lattice parameters (Å, degrees): 3.709 3.709 4.586 90.00 90.00 90.00
Element x y z (fractional)
Re (0.000, 0.000, 0.000)
Ge (0.500, 0.500, 0.500)
S (0.500, 0.500, 0.000)
N (0.000, 0.500, 0.500)
N (0.500, 0.000, 0.500)

## Properties
ρ	8.39	g/cm³
uncorrected formation energy	36.79	kcal/mol of atoms
DOS at the Fermi energy	3.3	states/eV/f.u.